[1]
The following is a PBE-GGA calculation of EuEr2Cu after structural relaxation, from the Alexandria database.

**E above lowest polymorph**: 119.7 meV per atom
**Calculated density**: 7.78 g/cm³

Unit cell a=10.2260 b=10.2260 c=10.2260 alpha=20.74 beta=20.74 gamma=20.74
Fractional positions:
Eu1 0.0000 0.0000 0.0000
Er1 0.2293 0.2293 0.2293
Er2 0.7707 0.7707 0.7707
Cu1 0.5000 0.5000 0.5000


[2]
The following is a PBE-GGA calculation of EuErCuGe after structural relaxation, from the Alexandria database.

**Calculated density**: 8.29 g/cm³
**E_tot**: -6.331 eV/atom

Unit cell a=5.0521 b=5.0521 c=5.0521 alpha=60.00 beta=60.00 gamma=60.00
Fractional positions:
Eu1 0.0000 0.0000 0.0000
Er1 0.5000 0.5000 0.5000
Cu1 0.7500 0.7500 0.7500
Ge1 0.2500 0.2500 0.2500


[3]
The following is a PBE-GGA calculation of EuErCuHg after structural relaxation, from the Alexandria database.

**Calculated density**: 9.79 g/cm³
**E_tot**: -5.080 eV/atom

Unit cell a=5.1925 b=5.1925 c=5.1925 alpha=60.00 beta=60.00 gamma=60.00
Fractional positions:
Eu1 0.0000 0.0000 0.0000
Er1 0.5000 0.5000 0.5000
Cu1 0.7500 0.7500 0.7500
Hg1 0.2500 0.2500 0.2500


[4]
The following is a PBE-GGA calculation of EuErCuIr after structural relaxation, from the Alexandria database.

**Calculated density**: 11.39 g/cm³
**E_tot**: -7.349 eV/atom

Unit cell a=4.9120 b=4.9120 c=4.9120 alpha=60.00 beta=60.00 gamma=60.00
Fractional positions:
Eu1 0.0000 0.0000 0.0000
Er1 0.5000 0.5000 0.5000
Cu1 0.2500 0.2500 0.2500
Ir1 0.7500 0.7500 0.7500


[5]
The following is a PBE-GGA calculation of LiEuErCu after structural relaxation, from the Alexandria database.

**Calculated density**: 6.80 g/cm³
**E_tot**: -5.185 eV/atom

Unit cell a=5.1257 b=5.1257 c=5.1257 alpha=60.00 beta=60.00 gamma=60.00
Fractional positions:
Li1 0.0000 0.0000 0.0000
Eu1 0.2500 0.2500 0.2500
Er1 0.7500 0.7500 0.7500
Cu1 0.5000 0.5000 0.5000


[6]
The following is a PBE-GGA calculation of EuErMgCu after structural relaxation, from the Alexandria database.

**Calculated density**: 6.67 g/cm³
**E_tot**: -5.138 eV/atom

Unit cell a=5.2333 b=5.2333 c=5.2333 alpha=60.00 beta=60.00 gamma=60.00
Fractional positions:
Eu1 0.0000 0.0000 0.0000
Er1 0.5000 0.5000 0.5000
Mg1 0.2500 0.2500 0.2500
Cu1 0.7500 0.7500 0.7500


[7]
The following is a PBE-GGA calculation of EuErCuPb after structural relaxation, from the Alexandria database.

**Calculated density**: 9.31 g/cm³
**E_tot**: -5.955 eV/atom

Unit cell a=5.2990 b=5.2990 c=5.2990 alpha=60.00 beta=60.00 gamma=60.00
Fractional positions:
Eu1 0.0000 0.0000 0.0000
Er1 0.5000 0.5000 0.5000
Cu1 0.2500 0.2500 0.2500
Pb1 0.7500 0.7500 0.7500


[8]
The following is a PBE-GGA calculation of EuErCuPd after structural relaxation, from the Alexandria database.

**Calculated density**: 9.17 g/cm³
**E_tot**: -6.468 eV/atom

Unit cell a=5.0043 b=5.0043 c=5.0043 alpha=60.00 beta=60.00 gamma=60.00
Fractional positions:
Eu1 0.0000 0.0000 0.0000
Er1 0.5000 0.5000 0.5000
Cu1 0.2500 0.2500 0.2500
Pd1 0.7500 0.7500 0.7500


[9]
The following is a PBE-GGA calculation of EuErCuPt after structural relaxation, from the Alexandria database.

**Calculated density**: 11.00 g/cm³
**E_tot**: -6.858 eV/atom

Unit cell a=4.9775 b=4.9775 c=4.9775 alpha=60.00 beta=60.00 gamma=60.00
Fractional positions:
Eu1 0.0000 0.0000 0.0000
Er1 0.5000 0.5000 0.5000
Cu1 0.7500 0.7500 0.7500
Pt1 0.2500 0.2500 0.2500


[10]
The following is a PBE-GGA calculation of EuErCuRu after structural relaxation, from the Alexandria database.

**Calculated density**: 9.67 g/cm³
**E_tot**: -7.162 eV/atom

Unit cell a=4.8981 b=4.8981 c=4.8981 alpha=60.00 beta=60.00 gamma=60.00
Fractional positions:
Eu1 0.0000 0.0000 0.0000
Er1 0.5000 0.5000 0.5000
Cu1 0.7500 0.7500 0.7500
Ru1 0.2500 0.2500 0.2500


[11]
The following is a PBE-GGA calculation of EuErCuSn after structural relaxation, from the Alexandria database.

**Calculated density**: 8.19 g/cm³
**E_tot**: -6.137 eV/atom

Unit cell a=5.2389 b=5.2389 c=5.2389 alpha=60.00 beta=60.00 gamma=60.00
Fractional positions:
Eu1 0.0000 0.0000 0.0000
Er1 0.5000 0.5000 0.5000
Cu1 0.7500 0.7500 0.7500
Sn1 0.2500 0.2500 0.2500


[12]
The following is a PBE-GGA calculation of EuErTlCu after structural relaxation, from the Alexandria database.

**Calculated density**: 9.46 g/cm³
**E_tot**: -5.516 eV/atom

Unit cell a=5.2619 b=5.2619 c=5.2619 alpha=60.00 beta=60.00 gamma=60.00
Fractional positions:
Eu1 0.0000 0.0000 0.0000
Er1 0.5000 0.5000 0.5000
Tl1 0.2500 0.2500 0.2500
Cu1 0.7500 0.7500 0.7500


[13]
The following is a PBE-GGA calculation of ErCuF5 after structural relaxation, from the Alexandria database.

**Calculated density**: 5.26 g/cm³
**Raw formation energy**: -3001 meV/atom

Unit cell a=5.6264 b=5.6264 c=7.1761 alpha=107.34 beta=107.34 gamma=78.90
Fractional positions:
Er1 0.0585 0.9415 0.7500
Er2 0.9415 0.0585 0.2500
Cu1 0.5000 0.5000 0.0000
Cu2 0.5000 0.5000 0.5000
F1 0.1562 0.8139 0.0376
F2 0.1861 0.8438 0.4624
F3 0.2267 0.3085 0.3733
F4 0.3085 0.2267 0.8733
F5 0.3811 0.6189 0.7500
F6 0.6189 0.3811 0.2500
F7 0.6915 0.7733 0.1267
F8 0.7733 0.6915 0.6267
F9 0.8139 0.1562 0.5376
F10 0.8438 0.1861 0.9624


[14]
The following is a PBE-GGA calculation of ErCu2F8 after structural relaxation, from the Alexandria database.

**Calculated density**: 5.00 g/cm³
**Raw formation energy**: -2251 meV/atom

Unit cell a=6.6213 b=6.6213 c=3.9033 alpha=90.00 beta=90.00 gamma=120.00
Fractional positions:
Er1 0.0000 0.0000 0.0000
Cu1 0.3333 0.6667 0.7380
Cu2 0.6667 0.3333 0.2620
F1 0.1654 0.3324 0.7361
F2 0.1670 0.8346 0.7361
F3 0.3324 0.1670 0.2639
F4 0.3333 0.6667 0.2370
F5 0.6667 0.3333 0.7630
F6 0.6676 0.8330 0.7361
F7 0.8330 0.1654 0.2639
F8 0.8346 0.6676 0.2639


[15]
The following is a PBE-GGA calculation of K3ErCu2F9 after structural relaxation, from the Alexandria database.

**Calculated density**: 4.12 g/cm³
**Raw formation energy**: -2683 meV/atom

Unit cell a=5.9925 b=5.9925 c=7.5512 alpha=90.00 beta=90.00 gamma=120.00
Fractional positions:
K1 0.0000 0.0000 0.0000
K2 0.3333 0.6667 0.7140
K3 0.6667 0.3333 0.2860
Er1 0.0000 0.0000 0.5000
Cu1 0.3333 0.6667 0.1553
Cu2 0.6667 0.3333 0.8447
F1 0.0000 0.5000 0.0000
F2 0.1663 0.3326 0.3308
F3 0.1663 0.8337 0.3308
F4 0.3326 0.1663 0.6692
F5 0.5000 0.0000 0.0000
F6 0.5000 0.5000 0.0000
F7 0.6674 0.8337 0.3308
F8 0.8337 0.1663 0.6692
F9 0.8337 0.6674 0.6692


[16]
The following is a PBE-GGA calculation of K2ErCuF6 after structural relaxation, from the Alexandria database.

**Calculated density**: 3.92 g/cm³
**Raw formation energy**: -2958 meV/atom

Unit cell a=6.6025 b=6.8606 c=10.2640 alpha=90.00 beta=129.65 gamma=90.00
Fractional positions:
K1 0.2494 0.0502 0.2478
K2 0.2494 0.4498 0.7478
K3 0.7506 0.5502 0.2522
K4 0.7506 0.9498 0.7522
Er1 0.0000 0.0000 0.5000
Er2 0.0000 0.5000 0.0000
Cu1 0.5000 0.0000 0.0000
Cu2 0.5000 0.5000 0.5000
F1 0.1869 0.7247 0.5406
F2 0.1869 0.7753 0.0406
F3 0.1974 0.0348 0.7708
F4 0.1974 0.4652 0.2708
F5 0.3161 0.1488 0.5341
F6 0.3161 0.3512 0.0341
F7 0.6839 0.6488 0.9659
F8 0.6839 0.8512 0.4659
F9 0.8026 0.5348 0.7292
F10 0.8026 0.9652 0.2292
F11 0.8131 0.2247 0.9594
F12 0.8131 0.2753 0.4594


[17]
The following is a PBE-GGA calculation of KErCu2F8 after structural relaxation, from the Alexandria database.

**Calculated density**: 4.77 g/cm³
**Raw formation energy**: -2569 meV/atom

Unit cell a=6.6622 b=6.6622 c=6.6622 alpha=130.10 beta=130.10 gamma=73.24
Fractional positions:
K1 0.0000 0.0000 0.0000
Er1 0.2500 0.7500 0.5000
Cu1 0.5000 0.5000 0.0000
Cu2 0.7500 0.2500 0.5000
F1 0.2723 0.4630 0.5960
F2 0.3237 0.7277 0.1907
F3 0.4315 0.0170 0.0440
F4 0.5370 0.1330 0.8093
F5 0.6125 0.5685 0.5856
F6 0.8670 0.6763 0.4040
F7 0.9731 0.3875 0.9560
F8 0.9830 0.0269 0.4144


[18]
The following is a PBE-GGA calculation of K2ErCu3F12 after structural relaxation, from the Alexandria database.

**Calculated density**: 3.88 g/cm³
**Raw formation energy**: -2373 meV/atom

Unit cell a=7.3232 b=7.3232 c=7.3232 alpha=61.02 beta=61.02 gamma=61.02
Fractional positions:
K1 0.1187 0.1187 0.1187
K2 0.8813 0.8813 0.8813
Er1 0.5000 0.5000 0.5000
Cu1 0.0000 0.5000 0.5000
Cu2 0.5000 0.0000 0.5000
Cu3 0.5000 0.5000 0.0000
F1 0.1419 0.5970 0.5970
F2 0.1978 0.1978 0.5870
F3 0.1978 0.5870 0.1978
F4 0.4030 0.4030 0.8581
F5 0.4030 0.8581 0.4030
F6 0.4130 0.8022 0.8022
F7 0.5870 0.1978 0.1978
F8 0.5970 0.1419 0.5970
F9 0.5970 0.5970 0.1419
F10 0.8022 0.4130 0.8022
F11 0.8022 0.8022 0.4130
F12 0.8581 0.4030 0.4030


[19]
The following is a PBE-GGA calculation of Na2ErCuF8 after structural relaxation, from the Alexandria database.

**Calculated density**: 4.27 g/cm³
**Raw formation energy**: -2763 meV/atom

Unit cell a=3.6219 b=5.2934 c=8.7537 alpha=95.60 beta=90.25 gamma=92.97
Fractional positions:
Na1 0.0072 0.0279 0.2703
Na2 0.9928 0.9721 0.7297
Er1 0.5000 0.5000 0.0000
Cu1 0.5000 0.5000 0.5000
F1 0.0075 0.6922 0.9198
F2 0.1365 0.2690 0.5363
F3 0.4600 0.6660 0.6858
F4 0.4911 0.8082 0.1761
F5 0.5089 0.1918 0.8239
F6 0.5400 0.3340 0.3142
F7 0.8635 0.7310 0.4637
F8 0.9925 0.3078 0.0802


[20]
The following is a PBE-GGA calculation of NaErCuF6 after structural relaxation, from the Alexandria database.

**Calculated density**: 4.67 g/cm³
**Raw formation energy**: -2904 meV/atom

Unit cell a=5.5901 b=5.5901 c=9.6702 alpha=90.00 beta=90.00 gamma=120.00
Fractional positions:
Na1 0.0000 0.0000 0.0000
Na2 0.0000 0.0000 0.5000
Er1 0.3333 0.6667 0.2500
Er2 0.6667 0.3333 0.7500
Cu1 0.3333 0.6667 0.7500
Cu2 0.6667 0.3333 0.2500
F1 0.0154 0.3625 0.6359
F2 0.0154 0.6530 0.8641
F3 0.3470 0.3625 0.8641
F4 0.3470 0.9846 0.6359
F5 0.3625 0.0154 0.1359
F6 0.3625 0.3470 0.3641
F7 0.6375 0.6530 0.6359
F8 0.6375 0.9846 0.8641
F9 0.6530 0.0154 0.3641
F10 0.6530 0.6375 0.1359
F11 0.9846 0.3470 0.1359
F12 0.9846 0.6375 0.3641